Ca2Cu at its PBEsol-relaxed geometry. Source: Alexandria, functional meta-GGA SCAN.

Properties
N(E_F): 0.86 states/eV/atom
Space group: I4/mmm, No. 139
Total energy: -34.61 eV for the cell shown
Formation energy: -0.027 eV/atom

a b c (Å): 6.9124 6.9124 6.9124
angles (deg): 150.20 150.20 42.65
Last column: nearest neighbours and their distance in Å.
Element x y z (fractional)
Ca1 0.1315 0.1315 0.0000  4 Cu 3.03, 1 Ca 3.39
Ca2 0.8685 0.8685 0.0000  4 Cu 3.03, 1 Ca 3.39
Cu1 0.5000 0.5000 0.0000  8 Ca 3.03

---

Cs2I4O11 at its PBEsol-relaxed geometry. Source: Alexandria, functional meta-GGA SCAN.

Properties
Polymorph energy (0 for the lowest one): 0.0 kJ/mol of atoms
N(E_F): 0.00 states/eV/atom
Space group: P2_1/c, No. 14
Total energy: -1217.46 eV for the cell shown

a b c (Å): 12.6200 7.3005 15.8774
angles (deg): 90.00 121.97 90.00
Last column: nearest neighbours and their distance in Å.
Element x y z (fractional)
Cs1 0.1237 0.2478 0.0597  9 O 3.17-3.38
Cs2 0.1237 0.2522 0.5597  9 O 3.17-3.38
Cs3 0.3712 0.2487 0.4312  9 O 3.13-3.33
Cs4 0.3712 0.2513 0.9312  9 O 3.13-3.33
Cs5 0.6288 0.7487 0.0688  9 O 3.13-3.33
Cs6 0.6288 0.7513 0.5688  9 O 3.13-3.33
Cs7 0.8763 0.7478 0.4403  9 O 3.17-3.38
Cs8 0.8763 0.7522 0.9403  9 O 3.17-3.38
I1 0.0112 0.5038 0.2379  3 O 1.82-2.03
I2 0.0112 0.9962 0.7379  3 O 1.82-2.03
I3 0.2359 0.7159 0.7345  2 O 1.82
I4 0.2359 0.7841 0.2345  2 O 1.82
I5 0.2653 0.7288 0.4954  3 O 1.84
I6 0.2653 0.7712 0.9954  3 O 1.84
I7 0.4853 0.0346 0.7390  3 O 1.82-2.00
I8 0.4853 0.4654 0.2390  3 O 1.82-2.00
I9 0.5147 0.5346 0.7610  3 O 1.82-2.00
I10 0.5147 0.9654 0.2610  3 O 1.82-2.00
I11 0.7347 0.2288 0.0046  3 O 1.84
I12 0.7347 0.2712 0.5046  3 O 1.84
I13 0.7641 0.2159 0.7655  2 O 1.82
I14 0.7641 0.2841 0.2655  2 O 1.82
I15 0.9888 0.0038 0.2621  3 O 1.82-2.03
I16 0.9888 0.4962 0.7621  3 O 1.82-2.03
O1 0.0588 0.7423 0.7177  2 I 2.03-2.12
O2 0.0588 0.7577 0.2177  2 I 2.03-2.12
O3 0.0790 0.5444 0.8952  1 I 1.83
O4 0.0790 0.9556 0.3952  1 I 1.83
O5 0.1083 0.1148 0.2490  1 I 1.82
O6 0.1083 0.3852 0.7490  1 I 1.82
O7 0.1613 0.5410 0.4195  1 I 1.84
O8 0.1613 0.9590 0.9195  1 I 1.84
O9 0.1633 0.6794 0.6014  1 I 1.82
O10 0.1633 0.8206 0.1014  1 I 1.82
O11 0.2371 0.5350 0.2387  1 I 1.82
O12 0.2371 0.9650 0.7387  1 I 1.82
O13 0.3260 0.7007 0.9174  1 I 1.84
O14 0.3260 0.7993 0.4174  1 I 1.84
O15 0.3821 0.0268 0.6043  1 I 1.82
O16 0.3821 0.4732 0.1043  1 I 1.82
O17 0.3881 0.1107 0.2459  1 I 1.82
O18 0.3881 0.3893 0.7459  1 I 1.82
O19 0.3994 0.5826 0.5799  1 I 1.84
O20 0.3994 0.9174 0.0799  1 I 1.84
O21 0.4195 0.7474 0.2622  2 I 2.00-2.13
O22 0.4195 0.7526 0.7622  2 I 2.00-2.13
O23 0.5805 0.2474 0.2378  2 I 2.00-2.13
O24 0.5805 0.2526 0.7378  2 I 2.00-2.13
O25 0.6006 0.0826 0.9201  1 I 1.84
O26 0.6006 0.4174 0.4201  1 I 1.84
O27 0.6119 0.6107 0.2541  1 I 1.82
O28 0.6119 0.8893 0.7541  1 I 1.82
O29 0.6179 0.5268 0.8957  1 I 1.82
O30 0.6179 0.9732 0.3957  1 I 1.82
O31 0.6740 0.2007 0.5826  1 I 1.84
O32 0.6740 0.2993 0.0826  1 I 1.84
O33 0.7629 0.0350 0.2613  1 I 1.82
O34 0.7629 0.4650 0.7613  1 I 1.82
O35 0.8367 0.1794 0.8986  1 I 1.82
O36 0.8367 0.3206 0.3986  1 I 1.82
O37 0.8387 0.0410 0.0805  1 I 1.84
O38 0.8387 0.4590 0.5805  1 I 1.84
O39 0.8917 0.6148 0.2510  1 I 1.82
O40 0.8917 0.8852 0.7510  1 I 1.82
O41 0.9210 0.0444 0.6048  1 I 1.83
O42 0.9210 0.4556 0.1048  1 I 1.83
O43 0.9412 0.2423 0.7823  2 I 2.03-2.12
O44 0.9412 0.2577 0.2823  2 I 2.03-2.12

---

VCrO5 at its PBEsol-relaxed geometry. Source: Alexandria, functional meta-GGA SCAN.

Properties
N(E_F): 0.20 states/eV/atom
Space group: Pnma, No. 62
Total energy: -327.95 eV for the cell shown

a b c (Å): 7.4333 6.4295 7.8288
angles (deg): 90.00 90.00 90.00
Last column: nearest neighbours and their distance in Å.
Element x y z (fractional)
V1 0.1688 0.2500 0.2399  1 O 1.62
V2 0.3312 0.7500 0.7399  1 O 1.62
V3 0.6688 0.2500 0.2601  1 O 1.62
V4 0.8312 0.7500 0.7601  1 O 1.62
Cr1 0.1182 0.7500 0.1111  4 O 1.64-1.68
Cr2 0.3818 0.2500 0.6111  4 O 1.64-1.68
Cr3 0.6182 0.7500 0.3889  4 O 1.64-1.68
Cr4 0.8818 0.2500 0.8889  4 O 1.64-1.68
O1 0.0660 0.2500 0.0051  1 Cr 1.64
O2 0.1201 0.7500 0.6881  1 V 1.62
O3 0.1247 0.5367 0.2344  1 Cr 1.68, 1 V 1.87
O4 0.1247 0.9633 0.2344  1 Cr 1.68, 1 V 1.87
O5 0.2081 0.2500 0.4778  1 Cr 1.66
O6 0.2919 0.7500 0.9778  1 Cr 1.66
O7 0.3753 0.0367 0.7344  1 Cr 1.68, 1 V 1.87
O8 0.3753 0.4633 0.7344  1 Cr 1.68, 1 V 1.87
O9 0.3799 0.2500 0.1881  1 V 1.62
O10 0.4340 0.7500 0.5051  1 Cr 1.64
O11 0.5660 0.2500 0.4949  1 Cr 1.64
O12 0.6201 0.7500 0.8119  1 V 1.62
O13 0.6247 0.5367 0.2656  1 Cr 1.68, 1 V 1.87
O14 0.6247 0.9633 0.2656  1 Cr 1.68, 1 V 1.87
O15 0.7081 0.2500 0.0222  1 Cr 1.66
O16 0.7919 0.7500 0.5222  1 Cr 1.66
O17 0.8753 0.0367 0.7656  1 Cr 1.68, 1 V 1.87
O18 0.8753 0.4633 0.7656  1 Cr 1.68, 1 V 1.87
O19 0.8799 0.2500 0.3119  1 V 1.62
O20 0.9340 0.7500 0.9949  1 Cr 1.64

---

GaBiN2F at its PBEsol-relaxed geometry. Source: Alexandria, functional meta-GGA SCAN.

Properties
N(E_F): 0.22 states/eV/atom
Space group: P4/mmm, No. 123
Total energy: -113.38 eV for the cell shown

a b c (Å): 4.3236 4.3236 4.4287
angles (deg): 90.00 90.00 90.00
Last column: nearest neighbours and their distance in Å.
Element x y z (fractional)
Ga1 0.0000 0.0000 0.0000  4 F 3.06, 8 N 3.09
Bi1 0.5000 0.5000 0.5000  4 N 2.16, 2 F 2.21
N1 0.0000 0.5000 0.5000  2 Bi 2.16
N2 0.5000 0.0000 0.5000  2 Bi 2.16
F1 0.5000 0.5000 0.0000  2 Bi 2.21

---

SnSbH2I at its PBEsol-relaxed geometry. Source: Alexandria, functional meta-GGA SCAN.

Properties
N(E_F): 0.44 states/eV/atom
Space group: P4/mmm, No. 123
Total energy: -113.80 eV for the cell shown

a b c (Å): 4.0831 4.0831 8.5958
angles (deg): 90.00 90.00 90.00
Last column: nearest neighbours and their distance in Å.
Element x y z (fractional)
Sn1 0.0000 0.0000 0.0000  4 Sb 2.89
Sb1 0.5000 0.5000 0.0000  4 Sn 2.89
H1 0.0000 0.5000 0.5000  2 I 2.04
H2 0.5000 0.0000 0.5000  2 I 2.04
I1 0.5000 0.5000 0.5000  4 H 2.04

---

MgZn2In at its PBEsol-relaxed geometry. Source: Alexandria, functional meta-GGA SCAN.

Properties
N(E_F): 0.34 states/eV/atom
Space group: P4/mmm, No. 123
Total energy: -65.53 eV for the cell shown
Formation energy: -0.035 eV/atom

a b c (Å): 4.2149 4.2149 4.0870
angles (deg): 90.00 90.00 90.00
Last column: nearest neighbours and their distance in Å.
Element x y z (fractional)
Mg1 0.0000 0.0000 0.0000  8 Zn 2.94, 4 In 2.98
Zn1 0.0000 0.5000 0.5000  4 In 2.94, 4 Mg 2.94, 4 Zn 2.98
Zn2 0.5000 0.0000 0.5000  4 In 2.94, 4 Mg 2.94, 4 Zn 2.98
In1 0.5000 0.5000 0.0000  8 Zn 2.94, 4 Mg 2.98

---

NiPb2Se at its PBEsol-relaxed geometry. Source: Alexandria, functional meta-GGA SCAN.

Properties
N(E_F): 0.40 states/eV/atom
Space group: Imm2, No. 44
Total energy: -187.65 eV for the cell shown

a b c (Å): 5.9828 5.9828 5.9828
angles (deg): 148.47 125.34 64.48
Last column: nearest neighbours and their distance in Å.
Element x y z (fractional)
Ni1 0.0000 0.0000 0.0000  2 Se 2.29
Pb1 0.4875 0.4875 0.0000  4 Ni 3.19, 6 Pb 3.25-3.46, 2 Se 3.25
Pb2 0.7790 0.2790 0.5000  2 Ni 2.76
Se1 0.1595 0.6595 0.5000  2 Ni 2.29

---

Cr2CuMo at its PBEsol-relaxed geometry. Source: Alexandria, functional meta-GGA SCAN.

Properties
Polymorph energy (0 for the lowest one): 13.5 kJ/mol of atoms
N(E_F): 0.69 states/eV/atom
Space group: P4/mmm, No. 123
Total energy: -85.33 eV for the cell shown
Formation energy: 0.380 eV/atom

a b c (Å): 2.4607 2.4607 8.2303
angles (deg): 90.00 90.00 90.00
Last column: nearest neighbours and their distance in Å.
Element x y z (fractional)
Cr1 0.0000 0.0000 0.2323  4 Cr 2.46, 4 Cu 2.59
Cr2 0.0000 0.0000 0.7677  4 Cr 2.46, 4 Cu 2.59
Cu1 0.5000 0.5000 0.0000  4 Cu 2.46, 8 Cr 2.59
Mo1 0.5000 0.5000 0.5000  4 Mo 2.46

---

LiZr2Tl at its PBEsol-relaxed geometry. Source: Alexandria, functional meta-GGA SCAN.

Properties
N(E_F): 0.67 states/eV/atom
Space group: Pmmm, No. 47
Total energy: -136.34 eV for the cell shown
Formation energy: -0.048 eV/atom

a b c (Å): 3.3240 4.2735 5.7218
angles (deg): 90.00 90.00 90.00
Last column: nearest neighbours and their distance in Å.
Element x y z (fractional)
Li1 0.0000 0.0000 0.0000  2 Tl 2.86, 8 Zr 3.05
Zr1 0.5000 0.5000 0.2462  2 Zr 2.82-2.90, 4 Li 3.05, 4 Tl 3.07
Zr2 0.5000 0.5000 0.7538  2 Zr 2.82-2.90, 4 Li 3.05, 4 Tl 3.07
Tl1 0.0000 0.0000 0.5000  2 Li 2.86, 8 Zr 3.07

---

AsWSe2 at its PBEsol-relaxed geometry. Source: Alexandria, functional meta-GGA SCAN.

Properties
N(E_F): 0.51 states/eV/atom
Space group: Cmm2, No. 35
Total energy: -128.27 eV for the cell shown

a b c (Å): 2.8332 2.8332 9.9859
angles (deg): 90.00 90.00 110.04
Last column: nearest neighbours and their distance in Å.
Element x y z (fractional)
As1 0.0000 0.0000 0.0000  2 W 2.62, 4 As 2.83
W1 0.5000 0.5000 0.7940  2 Se 2.60, 2 As 2.62, 4 W 2.83
Se1 0.0000 0.0000 0.5911  2 W 2.60, 4 Se 2.83
Se2 0.5000 0.5000 0.2932  4 Se 2.83

---

HgPd at its PBEsol-relaxed geometry. Source: Alexandria, functional meta-GGA SCAN.

Properties
N(E_F): 0.40 states/eV/atom
Space group: P2_13, No. 198
Total energy: -404.60 eV for the cell shown
Formation energy: -0.105 eV/atom

a b c (Å): 5.1966 5.1966 5.1966
angles (deg): 90.00 90.00 90.00
Last column: nearest neighbours and their distance in Å.
Element x y z (fractional)
Hg1 0.1560 0.1560 0.1560  7 Pd 2.77-2.80
Hg2 0.3440 0.8440 0.6560  7 Pd 2.77-2.80
Hg3 0.6560 0.3440 0.8440  7 Pd 2.77-2.80
Hg4 0.8440 0.6560 0.3440  7 Pd 2.77-2.80
Pd1 0.1531 0.3469 0.6531  7 Hg 2.77-2.80
Pd2 0.3469 0.6531 0.1531  7 Hg 2.77-2.80
Pd3 0.6531 0.1531 0.3469  7 Hg 2.77-2.80
Pd4 0.8469 0.8469 0.8469  7 Hg 2.77-2.80

---

TaReW2 at its PBEsol-relaxed geometry. Source: Alexandria, functional meta-GGA SCAN.

Properties
Polymorph energy (0 for the lowest one): 44.3 kJ/mol of atoms
N(E_F): 0.79 states/eV/atom
Space group: Cmmm, No. 65
Total energy: -276.03 eV for the cell shown
Formation energy: 0.257 eV/atom

a b c (Å): 5.1871 5.1871 2.7235
angles (deg): 90.00 90.00 118.59
Last column: nearest neighbours and their distance in Å.
Element x y z (fractional)
Ta1 0.0000 0.0000 0.0000  2 Re 2.65, 2 Ta 2.72, 8 W 2.93
Re1 0.5000 0.5000 0.0000  2 Ta 2.65, 2 Re 2.72, 8 W 2.93
W1 0.0000 0.5000 0.5000  4 W 2.65-2.72, 4 Ta 2.93, 4 Re 2.93
W2 0.5000 0.0000 0.5000  4 W 2.65-2.72, 4 Ta 2.93, 4 Re 2.93